Compound: HfAlPd5
Source: Alexandria
Functional: PBE
Structure: optimized geometry

DOS(E_F) ... 0.24 states/eV/atom
Size of the total moment ... 0.00 μB/cell
SG ... P4/mmm
ΔH_f (0 K) ... -0.804 eV/atom
Crystal system ... tetragonal
Polymorph energy (0 for the lowest one) ... 0.000 eV per atom
Uncorrected energy ... -45.286 eV/cell
ρ ... 10.72 g cm⁻³

Unit cell a=4.0426 b=4.0426 c=6.9902 alpha=90.00 beta=90.00 gamma=90.00
Atoms (fractional coordinates):
Hf: 0.0000 0.0000 0.0000
Al: 0.5000 0.5000 0.5000
Pd: 0.0000 0.5000 0.2831
Pd: 0.0000 0.5000 0.7169
Pd: 0.5000 0.0000 0.2831
Pd: 0.5000 0.0000 0.7169
Pd: 0.5000 0.5000 0.0000